(1)
Entry from Alexandria via LeMat-Bulk: a relaxed Ba2HfTc3O12 crystal (PBE).

Summary:
crystal system	trigonal
calculated total energy	-7.818	eV/atom
formation energy (no corrections)	-2.018	eV/atom

Cell: 7.3671 7.3671 18.2707 Å, 90.00 90.00 120.00°
Space group R-3m (No. 166, hexagonal axes)
One atom of each set of equivalent atoms:
Ba (0.0000, 0.0000, 0.1771)
Hf (0.0000, 0.0000, 0.5000)
Tc (0.0000, 0.5000, 0.0000)
O (0.0580, 0.5290, 0.1055)
O (0.0880, 0.5440, 0.3506)

***

(2)
Entry from Alexandria via LeMat-Bulk: a relaxed YRe2 crystal (PBE).

Summary:
crystal system	orthorhombic
calculated total energy	-10.189	eV/atom

Cell: 3.237 14.675 4.701 Å, 90.00 90.00 90.00°
Space group Cmcm (No. 63)
One atom of each set of equivalent atoms:
Y (0.000, 0.082, 0.250)
Re (0.000, 0.243, 0.750)
Re (0.000, 0.393, 0.250)

***

(3)
Entry from Alexandria via LeMat-Bulk: a relaxed PaVP crystal (PBE).

Summary:
crystal system	hexagonal
calculated total energy	-8.587	eV/atom

Cell: 4.1677 4.1677 3.6144 Å, 90.00 90.00 120.00°
Space group P-6m2 (No. 187)
One atom of each set of equivalent atoms:
Pa (0.0000, 0.0000, 0.0000)
V (0.6667, 0.3333, 0.5000)
P (0.3333, 0.6667, 0.5000)

***

(4)
Entry from Alexandria via LeMat-Bulk: a relaxed ZrTcSnRu crystal (PBE).

Summary:
crystal system	orthorhombic
calculated total energy	-8.416	eV/atom

Cell: 3.347 4.531 4.543 Å, 90.00 90.00 90.00°
Space group Pmmm (No. 47)
One atom of each set of equivalent atoms:
Zr (0.000, 0.000, 0.000)
Tc (0.500, 0.000, 0.500)
Sn (0.000, 0.500, 0.500)
Ru (0.500, 0.500, 0.000)